Entry from the Alexandria database: PmMnNi10 after structural relaxation (PBE).

extended XYZ file:
```
12
Lattice="3.9965 0.0000 0.0000 0.0000 4.7782 0.0000 0.0000 0.0000 8.3128" Properties=species:S:1:pos:R:3 pbc="T T T"
Pm 0.0000 0.0000 0.0000
Mn 0.0000 2.3891 4.1564
Ni 0.0000 0.0000 2.8724
Ni 0.0000 2.3891 6.7566
Ni 0.0000 2.3891 1.5563
Ni 0.0000 0.0000 5.4404
Ni 1.9983 0.0000 4.1564
Ni 1.9983 2.3891 0.0000
Ni 1.9983 1.2081 2.1422
Ni 1.9983 3.5701 6.1707
Ni 1.9983 3.5701 2.1422
Ni 1.9983 1.2081 6.1707
```

Properties
Crystal system ... orthorhombic
Energy ... -6.05 eV/atom
Formation energy ... -0.07 eV/atom